DFT (PBE) results for Dy4ErScS8 after structural relaxation.

## Properties
Its density is 5.20 g/cm3. As for the raw formation energy: -26.9 eV/f.u. The calculation puts the volume at 25.5 Å³/atom. As for the symmetry: R3m (160).

Cell lengths 7.966, 7.966, 7.959 Å; angles 59.97, 59.97, 60.00 degrees
Last column: magnetic moment on the atom in μB.
Atoms (fractional coordinates):
Dy1 0.625 0.625 0.125  0.02
Dy2 0.003 0.490 0.503  0.07
Dy3 0.490 0.003 0.503  0.07
Dy4 0.003 0.003 0.503  0.07
Er1 0.003 0.003 0.991  0.07
Sc1 0.375 0.375 0.875  0.18
S1 0.246 0.759 0.750  0.00
S2 0.759 0.246 0.750  0.00
S3 0.246 0.246 0.750  0.00
S4 0.248 0.248 0.257  0.00
S5 0.760 0.223 0.256  0.00
S6 0.223 0.760 0.256  0.00
S7 0.760 0.760 0.256  0.00
S8 0.758 0.758 0.725  0.00